Record 1
A relaxed Tl2Fe3S4 crystal. Source: OQMD via LeMat-Bulk, functional PBE.

a = 8.809 Å, b = 8.809 Å, c = 8.809 Å
α = 146.00°, β = 106.81°, γ = 83.21°
Fractional coordinates of all 18 atoms:
Tl1 0.128 0.241 0.369
Tl2 0.372 0.741 0.113
Tl3 0.628 0.259 0.887
Tl4 0.872 0.759 0.631
Fe1 0.001 0.750 0.251
Fe2 0.250 0.750 0.500
Fe3 0.499 0.750 0.749
Fe4 0.501 0.250 0.251
Fe5 0.750 0.250 0.500
Fe6 0.999 0.250 0.749
S1 0.030 0.410 0.121
S2 0.211 0.090 0.620
S3 0.289 0.909 0.879
S4 0.470 0.591 0.380
S5 0.530 0.409 0.620
S6 0.711 0.091 0.121
S7 0.789 0.910 0.380
S8 0.970 0.590 0.879

Summary:
- Raw total energy: -5.51 eV/atom

---

Record 2
A relaxed Be2NiAu3 crystal. Source: OQMD via LeMat-Bulk, functional PBE.

a = 2.887 Å, b = 2.887 Å, c = 9.647 Å
α = 90.00°, β = 90.00°, γ = 90.00°
Fractional coordinates of all 6 atoms:
Be1 0.000 0.000 0.000
Be2 0.500 0.500 0.450
Ni1 0.000 0.000 0.340
Au1 0.000 0.000 0.612
Au2 0.500 0.500 0.151
Au3 0.500 0.500 0.847

Summary:
- Raw total energy: -3.96 eV/atom

---

Record 3
A relaxed Nd3AuO6 crystal. Source: OQMD via LeMat-Bulk, functional PBE.

a = 3.781 Å, b = 5.692 Å, c = 7.101 Å
α = 90.84°, β = 103.38°, γ = 91.12°
Fractional coordinates of all 10 atoms:
Nd1 0.000 0.000 0.000
Nd2 0.389 0.474 0.732
Nd3 0.611 0.526 0.268
Au1 0.000 0.000 0.500
O1 0.134 0.788 0.299
O2 0.154 0.295 0.377
O3 0.485 0.745 0.983
O4 0.515 0.255 0.017
O5 0.846 0.705 0.623
O6 0.866 0.212 0.701

Summary:
- Raw total energy: -7.33 eV/atom

---

Record 4
A relaxed Zr2Br3Cl3 crystal. Source: OQMD via LeMat-Bulk, functional PBE.

a = 6.759 Å, b = 6.181 Å, c = 6.852 Å
α = 90.00°, β = 118.78°, γ = 90.00°
Fractional coordinates of all 8 atoms:
Zr1 0.000 0.242 0.000
Zr2 0.000 0.758 0.000
Br1 0.328 0.000 0.319
Br2 0.680 0.500 0.681
Br3 0.991 0.500 0.317
Cl1 0.003 0.000 0.699
Cl2 0.295 0.500 0.991
Cl3 0.693 0.000 0.995

Summary:
- Raw total energy: -5.00 eV/atom

---

Record 5
A relaxed Tb4MgTc crystal. Source: OQMD via LeMat-Bulk, functional PBE.

a = 7.843 Å, b = 7.843 Å, c = 6.238 Å
α = 100.22°, β = 100.22°, γ = 110.57°
Fractional coordinates of all 12 atoms:
Tb1 0.063 0.727 0.949
Tb2 0.191 0.359 0.620
Tb3 0.273 0.937 0.551
Tb4 0.359 0.191 0.120
Tb5 0.641 0.809 0.880
Tb6 0.727 0.063 0.449
Tb7 0.809 0.641 0.380
Tb8 0.937 0.273 0.051
Mg1 0.379 0.621 0.250
Mg2 0.621 0.379 0.750
Tc1 0.001 0.999 0.750
Tc2 0.999 0.001 0.250

Summary:
- Raw total energy: -5.14 eV/atom

---

Record 6
A relaxed LiTmHf crystal. Source: OQMD via LeMat-Bulk, functional PBE.

a = 4.925 Å, b = 4.925 Å, c = 4.925 Å
α = 60.00°, β = 60.00°, γ = 60.00°
Fractional coordinates of all 3 atoms:
Li1 0.000 0.000 0.000
Tm1 0.500 0.500 0.500
Hf1 0.250 0.250 0.250

Summary:
- ΔE to the lowest computed polymorph: 0.00 eV per formula unit
- Raw total energy: -4.26 eV/atom